#w
# Cd2TeAs (SCAN, single point on PBEsol structure)
data_Cd2TeAs
_space_group_name_H-M_alt 'P 4/m m m'
_space_group_IT_number 123
_space_group_name_Hall '-P 4 2'
_cell_length_a 4.848
_cell_length_b 4.848
_cell_length_c 3.886
_cell_angle_alpha 90.00
_cell_angle_beta 90.00
_cell_angle_gamma 90.00
loop_
_atom_site_label
_atom_site_type_symbol
_atom_site_fract_x
_atom_site_fract_y
_atom_site_fract_z
Cd1 Cd 0.000 0.500 0.000
Te1 Te 0.000 0.000 0.500
As1 As 0.500 0.500 0.500
# Fermi-level density of states: 0.607 states/eV per atom


#x
# Cd2TeAs (SCAN, single point on PBEsol structure)
data_Cd2TeAs
_space_group_name_H-M_alt 'F m -3 m'
_space_group_IT_number 225
_space_group_name_Hall '-F 4 2 3'
_cell_length_a 7.136
_cell_length_b 7.136
_cell_length_c 7.136
_cell_angle_alpha 90.00
_cell_angle_beta 90.00
_cell_angle_gamma 90.00
loop_
_atom_site_label
_atom_site_type_symbol
_atom_site_fract_x
_atom_site_fract_y
_atom_site_fract_z
Cd1 Cd 0.250 0.250 0.250
Te1 Te 0.000 0.000 0.000
As1 As 0.000 0.000 0.500
# Fermi-level density of states: 0.617 states/eV per atom


What should be chosen as the least stable of them? Choose #x.


#w
# Zr2CdAs (SCAN, single point on PBEsol structure)
data_Zr2CdAs
_space_group_name_H-M_alt 'F -4 3 m'
_space_group_IT_number 216
_space_group_name_Hall 'F -4 2 3'
_cell_length_a 6.846
_cell_length_b 6.846
_cell_length_c 6.846
_cell_angle_alpha 90.00
_cell_angle_beta 90.00
_cell_angle_gamma 90.00
loop_
_atom_site_label
_atom_site_type_symbol
_atom_site_fract_x
_atom_site_fract_y
_atom_site_fract_z
Zr1 Zr 0.000 0.000 0.000
Zr2 Zr 0.250 0.250 0.250
Cd1 Cd 0.250 0.250 0.750
As1 As 0.000 0.000 0.500
# Fermi-level density of states: 0.873 states/eV per atom


#x
# Zr2CdAs (SCAN, single point on PBEsol structure)
data_Zr2CdAs
_space_group_name_H-M_alt 'R 3 m'
_space_group_IT_number 160
_space_group_name_Hall 'R 3 -2"'
_cell_length_a 3.2179
_cell_length_b 3.2179
_cell_length_c 28.2870
_cell_angle_alpha 90.00
_cell_angle_beta 90.00
_cell_angle_gamma 120.00
loop_
_atom_site_label
_atom_site_type_symbol
_atom_site_fract_x
_atom_site_fract_y
_atom_site_fract_z
Zr1 Zr 0.0000 0.0000 0.0000
Zr2 Zr 0.0000 0.0000 0.2461
Cd1 Cd 0.0000 0.0000 0.4909
As1 As 0.0000 0.0000 0.7417
# Fermi-level density of states: 0.671 states/eV per atom


What should be chosen as the least stable of them? Choose #w.


#w
# Ce3AsS3 (SCAN, single point on PBEsol structure)
data_Ce3AsS3
_space_group_name_H-M_alt 'C 1 c 1'
_space_group_IT_number 9
_cell_length_a 8.449
_cell_length_b 11.999
_cell_length_c 7.291
_cell_angle_alpha 90.00
_cell_angle_beta 125.38
_cell_angle_gamma 90.00
loop_
_space_group_symop_operation_xyz
'x,y,z'
'x,-y,z+1/2'
'x+1/2,y+1/2,z'
'x+1/2,-y+1/2,z+1/2'
loop_
_atom_site_label
_atom_site_type_symbol
_atom_site_fract_x
_atom_site_fract_y
_atom_site_fract_z
Ce1 Ce 0.000 0.064 0.000
Ce2 Ce 0.135 0.314 0.755
Ce3 Ce 0.446 0.128 0.626
As1 As 0.272 0.077 0.877
S1 S 0.021 0.172 0.378
S2 S 0.192 0.499 0.031
S3 S 0.289 0.249 0.222
# Fermi-level density of states: 0.813 states/eV per atom


#x
# Ce3AsS3 (SCAN, single point on PBEsol structure)
data_Ce3AsS3
_space_group_name_H-M_alt 'P 21 3'
_space_group_IT_number 198
_space_group_name_Hall 'P 2ac 2ab 3'
_cell_length_a 8.452
_cell_length_b 8.452
_cell_length_c 8.452
_cell_angle_alpha 90.00
_cell_angle_beta 90.00
_cell_angle_gamma 90.00
loop_
_atom_site_label
_atom_site_type_symbol
_atom_site_fract_x
_atom_site_fract_y
_atom_site_fract_z
Ce1 Ce 0.003 0.252 0.373
As1 As 0.172 0.328 0.672
S1 S 0.075 0.925 0.425
S2 S 0.078 0.078 0.078
S3 S 0.171 0.671 0.829
# Fermi-level density of states: 0.540 states/eV per atom


What should be chosen as the least stable of them? Choose #w.


#w
# CoAsCl2 (SCAN, single point on PBEsol structure)
data_CoAsCl2
_space_group_name_H-M_alt 'P m m m'
_space_group_IT_number 47
_cell_length_a 3.005
_cell_length_b 4.155
_cell_length_c 5.559
_cell_angle_alpha 90.00
_cell_angle_beta 90.00
_cell_angle_gamma 90.00
loop_
_space_group_symop_operation_xyz
'x,y,z'
'-x,-y,-z'
'-x,-y,z'
'x,y,-z'
'x,-y,-z'
'-x,y,z'
'-x,y,-z'
'x,-y,z'
loop_
_atom_site_label
_atom_site_type_symbol
_atom_site_fract_x
_atom_site_fract_y
_atom_site_fract_z
Co1 Co 0.000 0.000 0.000
As1 As 0.500 0.000 0.500
Cl1 Cl 0.000 0.500 0.500
Cl2 Cl 0.500 0.500 0.000
# Fermi-level density of states: 0.589 states/eV per atom


#x
# CoAsCl2 (SCAN, single point on PBEsol structure)
data_CoAsCl2
_space_group_name_H-M_alt 'I m m 2'
_space_group_IT_number 44
_cell_length_a 3.078
_cell_length_b 4.869
_cell_length_c 12.074
_cell_angle_alpha 90.00
_cell_angle_beta 90.00
_cell_angle_gamma 90.00
loop_
_space_group_symop_operation_xyz
'x,y,z'
'-x,-y,z'
'-x,y,z'
'x,-y,z'
'x+1/2,y+1/2,z+1/2'
'-x+1/2,-y+1/2,z+1/2'
'-x+1/2,y+1/2,z+1/2'
'x+1/2,-y+1/2,z+1/2'
loop_
_atom_site_label
_atom_site_type_symbol
_atom_site_fract_x
_atom_site_fract_y
_atom_site_fract_z
Co1 Co 0.000 0.000 0.000
As1 As 0.000 0.500 0.651
Cl1 Cl 0.000 0.000 0.595
Cl2 Cl 0.000 0.500 0.367
# Fermi-level density of states: 0.009 states/eV per atom


What should be chosen as the least stable of them? Choose #w.


#w
# CoAs2Cl (SCAN, single point on PBEsol structure)
data_CoAs2Cl
_space_group_name_H-M_alt 'I m m m'
_space_group_IT_number 71
_space_group_name_Hall '-I 2 2'
_cell_length_a 2.868
_cell_length_b 4.277
_cell_length_c 10.595
_cell_angle_alpha 90.00
_cell_angle_beta 90.00
_cell_angle_gamma 90.00
loop_
_atom_site_label
_atom_site_type_symbol
_atom_site_fract_x
_atom_site_fract_y
_atom_site_fract_z
Co1 Co 0.000 0.000 0.000
As1 As 0.000 0.500 0.313
Cl1 Cl 0.000 0.000 0.500
# Fermi-level density of states: 0.401 states/eV per atom


#x
# CoAs2Cl (SCAN, single point on PBEsol structure)
data_CoAs2Cl
_space_group_name_H-M_alt 'I m m 2'
_space_group_IT_number 44
_cell_length_a 3.139
_cell_length_b 3.811
_cell_length_c 12.207
_cell_angle_alpha 90.00
_cell_angle_beta 90.00
_cell_angle_gamma 90.00
loop_
_space_group_symop_operation_xyz
'x,y,z'
'-x,-y,z'
'-x,y,z'
'x,-y,z'
'x+1/2,y+1/2,z+1/2'
'-x+1/2,-y+1/2,z+1/2'
'-x+1/2,y+1/2,z+1/2'
'x+1/2,-y+1/2,z+1/2'
loop_
_atom_site_label
_atom_site_type_symbol
_atom_site_fract_x
_atom_site_fract_y
_atom_site_fract_z
Co1 Co 0.000 0.000 0.000
As1 As 0.000 0.000 0.522
As2 As 0.000 0.500 0.656
Cl1 Cl 0.000 0.500 0.342
# Fermi-level density of states: 0.505 states/eV per atom


What should be chosen as the least stable of them? Choose #w.


#w
# CrAsCl2 (SCAN, single point on PBEsol structure)
data_CrAsCl2
_space_group_name_H-M_alt 'I m m m'
_space_group_IT_number 71
_space_group_name_Hall '-I 2 2'
_cell_length_a 2.960
_cell_length_b 4.869
_cell_length_c 12.170
_cell_angle_alpha 90.00
_cell_angle_beta 90.00
_cell_angle_gamma 90.00
loop_
_atom_site_label
_atom_site_type_symbol
_atom_site_fract_x
_atom_site_fract_y
_atom_site_fract_z
Cr1 Cr 0.000 0.000 0.000
As1 As 0.000 0.000 0.500
Cl1 Cl 0.000 0.500 0.351
# Fermi-level density of states: 0.414 states/eV per atom


#x
# CrAsCl2 (SCAN, single point on PBEsol structure)
data_CrAsCl2
_space_group_name_H-M_alt 'F m m m'
_space_group_IT_number 69
_space_group_name_Hall '-F 2 2'
_cell_length_a 5.918
_cell_length_b 6.271
_cell_length_c 8.280
_cell_angle_alpha 90.00
_cell_angle_beta 90.00
_cell_angle_gamma 90.00
loop_
_atom_site_label
_atom_site_type_symbol
_atom_site_fract_x
_atom_site_fract_y
_atom_site_fract_z
Cr1 Cr 0.000 0.000 0.000
As1 As 0.000 0.000 0.500
Cl1 Cl 0.000 0.250 0.250
# Fermi-level density of states: 0.313 states/eV per atom


#y
# CrAsCl2 (SCAN, single point on PBEsol structure)
data_CrAsCl2
_space_group_name_H-M_alt 'I -4 2 d'
_space_group_IT_number 122
_space_group_name_Hall 'I -4 2bw'
_cell_length_a 8.405
_cell_length_b 8.405
_cell_length_c 4.657
_cell_angle_alpha 90.00
_cell_angle_beta 90.00
_cell_angle_gamma 90.00
loop_
_atom_site_label
_atom_site_type_symbol
_atom_site_fract_x
_atom_site_fract_y
_atom_site_fract_z
Cr1 Cr 0.000 0.000 0.000
As1 As 0.000 0.000 0.500
Cl1 Cl 0.110 0.250 0.125
# Fermi-level density of states: 0.240 states/eV per atom


What should be chosen as the least stable of them? Choose #x.